No. 1
Here is a relaxed LiNd5Mg6 crystal from the Alexandria database. Energies are from GGA-PBE.

The value obtained for the formation energy is -0.07 eV per atom.

Cell: 9.406 9.406 5.428 Å, 106.68 106.68 48.34°
Fractional coordinates of all 12 atoms:
Li1 0.000 0.000 0.000
Nd1 0.177 0.177 0.676
Nd2 0.334 0.334 0.334
Nd3 0.500 0.500 0.000
Nd4 0.666 0.666 0.666
Nd5 0.823 0.823 0.324
Mg1 0.075 0.613 0.845
Mg2 0.228 0.772 0.500
Mg3 0.387 0.925 0.155
Mg4 0.613 0.075 0.845
Mg5 0.772 0.228 0.500
Mg6 0.925 0.387 0.155

No. 2
Here is a relaxed Ta2HPdRh crystal from the Alexandria database. Energies are from GGA-PBE.

Cell: 4.071 4.071 4.029 Å, 90.00 90.00 90.00°
Fractional coordinates of all 5 atoms:
Ta1 0.000 0.500 0.000
Ta2 0.500 0.000 0.000
H1 0.000 0.000 0.000
Pd1 0.500 0.500 0.500
Rh1 0.000 0.000 0.500

No. 3
Here is a relaxed SrW5 crystal from the Alexandria database. Energies are from GGA-PBE.

The value obtained for the formation energy is 0.59 eV per atom.

Cell: 5.638 5.638 4.379 Å, 90.00 90.00 120.00°
Fractional coordinates of all 6 atoms:
Sr1 0.000 0.000 0.000
W1 0.000 0.500 0.500
W2 0.333 0.667 0.000
W3 0.500 0.000 0.500
W4 0.500 0.500 0.500
W5 0.667 0.333 0.000

No. 4
Here is a relaxed CaOsC2 crystal from the Alexandria database. Energies are from GGA-PBE.

The value obtained for the formation energy is 1.34 eV per atom.

Cell: 3.990 3.990 3.990 Å, 60.00 60.00 60.00°
Fractional coordinates of all 4 atoms:
Ca1 0.000 0.000 0.000
Os1 0.500 0.500 0.500
C1 0.250 0.250 0.250
C2 0.750 0.750 0.750

No. 5
Here is a relaxed LaTm3 crystal from the Alexandria database. Energies are from GGA-PBE.

The value obtained for the formation energy is 0.04 eV per atom.

Cell: 5.035 5.035 5.035 Å, 90.00 90.00 90.00°
Fractional coordinates of all 4 atoms:
La1 0.000 0.000 0.000
Tm1 0.000 0.500 0.500
Tm2 0.500 0.000 0.500
Tm3 0.500 0.500 0.000

No. 6
Here is a relaxed V2CrAgPb crystal from the Alexandria database. Energies are from GGA-PBE.

The value obtained for the formation energy is 1.45 eV per atom.

Cell: 4.944 4.944 4.963 Å, 90.00 90.00 90.00°
Fractional coordinates of all 5 atoms:
V1 0.000 0.500 0.000
V2 0.500 0.000 0.000
Cr1 0.000 0.000 0.500
Ag1 0.000 0.000 0.000
Pb1 0.500 0.500 0.500

No. 7
Here is a relaxed Tm3NbO crystal from the Alexandria database. Energies are from GGA-PBE.

The raw formation energy is -1044 meV/atom.

Cell: 4.679 4.679 4.679 Å, 90.00 90.00 90.00°
Fractional coordinates of all 5 atoms:
Tm1 0.000 0.000 0.500
Tm2 0.000 0.500 0.000
Tm3 0.500 0.000 0.000
Nb1 0.500 0.500 0.500
O1 0.000 0.000 0.000

No. 8
Here is a relaxed CsSc2Ag crystal from the Alexandria database. Energies are from GGA-PBE.

The value obtained for the formation energy is 0.42 eV per atom.

Cell: 11.420 11.420 11.420 Å, 17.61 17.61 17.61°
Fractional coordinates of all 4 atoms:
Cs1 0.000 0.000 0.000
Sc1 0.105 0.105 0.105
Sc2 0.895 0.895 0.895
Ag1 0.500 0.500 0.500

No. 9
Here is a relaxed La2PmPrHo2 crystal from the Alexandria database. Energies are from GGA-PBE.

The value obtained for the formation energy is 0.07 eV per atom.

Cell: 5.703 10.421 6.993 Å, 90.00 90.00 90.00°
Fractional coordinates of all 12 atoms:
La1 0.000 0.024 0.000
La2 0.000 0.976 0.500
La3 0.500 0.198 0.268
La4 0.500 0.802 0.768
Pm1 0.500 0.474 0.898
Pm2 0.500 0.526 0.398
Pr1 0.000 0.307 0.637
Pr2 0.000 0.693 0.137
Ho1 0.000 0.373 0.146
Ho2 0.000 0.627 0.646
Ho3 0.500 0.131 0.756
Ho4 0.500 0.869 0.256

No. 10
Here is a relaxed Na2Nd3HoTe6 crystal from the Alexandria database. Energies are from GGA-PBE.

The raw formation energy is -1345 meV/atom.

Cell: 7.744 7.744 7.800 Å, 99.50 99.50 119.94°
Fractional coordinates of all 12 atoms:
Na1 0.165 0.835 0.000
Na2 0.835 0.165 0.000
Nd1 0.000 0.000 0.500
Nd2 0.329 0.671 0.500
Nd3 0.671 0.329 0.500
Ho1 0.500 0.500 0.000
Te1 0.092 0.420 0.758
Te2 0.257 0.257 0.248
Te3 0.420 0.092 0.758
Te4 0.580 0.908 0.242
Te5 0.743 0.743 0.752
Te6 0.908 0.580 0.242

No. 11
Here is a relaxed Rb2TeO2F4 crystal from the Alexandria database. Energies are from GGA-PBE.

The raw formation energy is -2065 meV/atom.

Cell: 6.148 6.148 5.032 Å, 92.00 92.00 59.36°
Fractional coordinates of all 9 atoms:
Rb1 0.176 0.176 0.303
Rb2 0.824 0.824 0.697
Te1 0.500 0.500 0.000
O1 0.351 0.351 0.809
O2 0.649 0.649 0.191
F1 0.197 0.669 0.227
F2 0.331 0.803 0.773
F3 0.669 0.197 0.227
F4 0.803 0.331 0.773

No. 12
Here is a relaxed Na2Cr2SnS6 crystal from the Alexandria database. Energies are from GGA-PBE.

The raw formation energy is -814 meV/atom.

Cell: 6.274 6.274 7.038 Å, 98.20 98.20 120.68°
Fractional coordinates of all 11 atoms:
Na1 0.163 0.837 0.000
Na2 0.837 0.163 0.000
Cr1 0.332 0.668 0.500
Cr2 0.668 0.332 0.500
Sn1 0.000 0.000 0.500
S1 0.063 0.416 0.700
S2 0.284 0.284 0.299
S3 0.416 0.063 0.700
S4 0.584 0.937 0.300
S5 0.716 0.716 0.701
S6 0.937 0.584 0.300

No. 13
Here is a relaxed Hf2BiOs2 crystal from the Alexandria database. Energies are from GGA-PBE.

The value obtained for the formation energy is -0.12 eV per atom.

Cell: 7.825 7.825 3.208 Å, 90.00 90.00 90.00°
Fractional coordinates of all 10 atoms:
Hf1 0.151 0.349 0.000
Hf2 0.349 0.849 0.000
Hf3 0.651 0.151 0.000
Hf4 0.849 0.651 0.000
Bi1 0.000 0.000 0.500
Bi2 0.500 0.500 0.500
Os1 0.137 0.637 0.500
Os2 0.363 0.137 0.500
Os3 0.637 0.863 0.500
Os4 0.863 0.363 0.500

No. 14
Here is a relaxed AlBS crystal from the Alexandria database. Energies are from GGA-PBE.

The raw formation energy is -372 meV/atom.

Cell: 3.302 3.302 10.464 Å, 81.59 81.14 60.01°
Fractional coordinates of all 6 atoms:
Al1 0.000 0.000 0.000
Al2 0.459 0.440 0.635
B1 0.388 0.379 0.842
B2 0.720 0.711 0.846
S1 0.164 0.140 0.520
S2 0.625 0.631 0.123

No. 15
Here is a relaxed ZrPO2 crystal from the Alexandria database. Energies are from GGA-PBE.

The raw formation energy is -1368 meV/atom.

Cell: 6.242 6.242 6.242 Å, 122.85 122.85 85.13°
Fractional coordinates of all 8 atoms:
Zr1 0.000 0.000 0.000
Zr2 0.750 0.250 0.500
P1 0.250 0.750 0.500
P2 0.500 0.500 0.000
O1 0.375 0.222 0.347
O2 0.778 0.125 0.153
O3 0.875 0.028 0.653
O4 0.972 0.625 0.847

No. 16
Here is a relaxed CaTmNiPt crystal from the Alexandria database. Energies are from GGA-PBE.

The value obtained for the formation energy is -0.65 eV per atom.

Cell: 4.828 4.828 4.828 Å, 60.00 60.00 60.00°
Fractional coordinates of all 4 atoms:
Ca1 0.000 0.000 0.000
Tm1 0.500 0.500 0.500
Ni1 0.250 0.250 0.250
Pt1 0.750 0.750 0.750

It is found that the total DFT energy (no corrections) values, taken in the order of the records, are -36.16; -41.06; -62.90; -26.30; -18.17; -27.19; -33.66; -14.67; -56.24; -56.50; -41.06; -59.61; -93.69; -31.33; -58.69; -20.91 eV for the cell shown.
It is found that the M_tot values, taken in the order of the records, are 0.0; 0.0; 0.0; 0.0; 0.0; 9.9; 0.0; 0.0; 0.0; 0.0; 0.1; 6.0; 0.0; 0.0; 0.0; 0.0 Bohr magnetons per cell.